This record from Alexandria via LeMat-Bulk describes a geometry-optimized Ho4InAu3 structure. The functional is GGA-PBE.

Values from the calculation:
**Formation enthalpy at 0 K**: -0.755 eV per atom
**Size of the total moment**: 0.00 μB/cell
**Raw total energy**: -4.61 eV per atom

a = 3.609 Å, b = 5.143 Å, c = 10.276 Å
α = 90.00°, β = 90.00°, γ = 90.00°
Space group Pmmm (No. 47)
Symmetry-distinct sites (fractional):
Ho: 0.000 0.000 0.000
Ho: 0.000 0.000 0.500
Ho: 0.000 0.500 0.238
In: 0.500 0.500 0.500
Au: 0.500 0.000 0.257
Au: 0.500 0.500 0.000